A geometry-optimized CsRbLaIn2 structure. Source: the Alexandria database, functional PBE-GGA.

Cell: 6.3587 6.3587 5.9934 Å, 90.00 90.00 90.00°
Atoms (fractional coordinates):
Cs 0.0000 0.0000 0.0000
Rb 0.5000 0.5000 0.5000
La 0.5000 0.5000 0.0000
In 0.0000 0.5000 0.5000
In 0.5000 0.0000 0.5000

Values from the calculation:
The density comes out at 4.0 Mg/m³. The value obtained for the total DFT energy (no corrections) is -1.677 eV/atom.